A plane-wave DFT calculation with GGA-PBE was carried out for crystalline BaTlGaGe2 at its relaxed geometry.

abc: 5.1648 5.1648 5.5316
angles: 90.00 90.00 90.00
Closest atoms and distances in Å follow each position.
Fractional coordinates of all 5 atoms:
Ba 0.0000 0.0000 0.0000  4 Tl 3.65, 8 Ge 3.78
Tl 0.5000 0.5000 0.0000  2 Ga 2.77
Ga 0.5000 0.5000 0.5000  4 Ge 2.58, 2 Tl 2.77
Ge 0.0000 0.5000 0.5000  2 Ga 2.58
Ge 0.5000 0.0000 0.5000  2 Ga 2.58

Results
**DFT total energy**: -16.53 eV per formula unit
**Total magnetization**: 0.0 μB per formula unit
**Symmetry**: P4/mmm (123)